Record 1
BaBe4Ni: relaxed, PBE. Values from VASP.

Structure (Quantum ESPRESSO input):
```
&SYSTEM
  ibrav = 0, nat = 6, ntyp = 3
/
ATOMIC_SPECIES
Ba 137.33 Ba.upf
Ni 58.69 Ni.upf
Be 9.01 Be.upf
ATOMIC_POSITIONS crystal
Ba 0.000 0.000 0.000
Ni 0.250 0.250 0.250
Be 0.156 0.615 0.615
Be 0.615 0.615 0.615
Be 0.615 0.156 0.615
Be 0.615 0.615 0.156
CELL_PARAMETERS angstrom
0.000 3.485 3.485
3.485 0.000 3.485
3.485 3.485 0.000
```

Calculated values
The value obtained for the calculated volume is 85 Å³/f.u. Its total DFT energy (no corrections) is -19.4 eV per cell.

=====

Record 2
TaCd2Rh2: relaxed, PBE. Values from VASP.

Structure (Quantum ESPRESSO input):
```
&SYSTEM
  ibrav = 0, nat = 10, ntyp = 3
/
ATOMIC_SPECIES
Cd 112.41 Cd.upf
Rh 102.91 Rh.upf
Ta 180.95 Ta.upf
ATOMIC_POSITIONS crystal
Cd 0.663 0.837 0.500
Rh 0.141 0.359 0.000
Rh 0.859 0.641 0.000
Ta 0.500 0.500 0.000
Rh 0.359 0.859 0.000
Ta 0.000 0.000 0.000
Cd 0.163 0.663 0.500
Rh 0.641 0.141 0.000
Cd 0.837 0.337 0.500
Cd 0.337 0.163 0.500
CELL_PARAMETERS angstrom
-1.206 6.324 -1.602
-4.999 -1.943 -3.905
-2.640 0.313 3.224
```

Calculated values
The value obtained for the calculated volume is 92 Å³/f.u. Its total DFT energy (no corrections) is -57.1 eV per cell.

=====

Record 3
LiTb2PmTl4: relaxed, PBE. Values from VASP.

Structure (Quantum ESPRESSO input):
```
&SYSTEM
  ibrav = 0, nat = 8, ntyp = 4
/
ATOMIC_SPECIES
Tl 204.38 Tl.upf
Li 6.94 Li.upf
Tb 158.93 Tb.upf
Pm 145.00 Pm.upf
ATOMIC_POSITIONS crystal
Tl 0.128 0.128 0.617
Tl 0.378 0.378 0.866
Tl 0.622 0.622 0.134
Li 0.500 0.500 0.500
Tb 0.755 0.755 0.735
Pm 0.000 0.000 0.000
Tb 0.245 0.245 0.265
Tl 0.872 0.872 0.383
CELL_PARAMETERS angstrom
5.274 0.000 0.000
2.637 4.567 0.000
2.637 1.522 8.930
```

Calculated values
The value obtained for the calculated volume is 215 Å³/f.u. Its total DFT energy (no corrections) is -28.1 eV per cell.

=====

Record 4
Nd5YHo2Er: relaxed, PBE. Values from VASP.

Structure (Quantum ESPRESSO input):
```
&SYSTEM
  ibrav = 0, nat = 18, ntyp = 4
/
ATOMIC_SPECIES
Nd 144.24 Nd.upf
Er 167.26 Er.upf
Ho 164.93 Ho.upf
Y 88.91 Y.upf
ATOMIC_POSITIONS crystal
Nd 0.483 0.966 0.744
Er 0.408 0.817 0.463
Er 0.592 0.183 0.963
Nd 0.984 0.967 0.517
Nd 0.016 0.033 0.017
Ho 0.115 0.229 0.310
Y 0.199 0.398 0.011
Y 0.801 0.602 0.511
Nd 0.719 0.439 0.811
Nd 0.614 0.229 0.521
Nd 0.386 0.771 0.021
Ho 0.885 0.771 0.810
Ho 0.112 0.224 0.739
Nd 0.517 0.034 0.244
Ho 0.888 0.776 0.239
Nd 0.702 0.404 0.208
Nd 0.281 0.561 0.311
Nd 0.298 0.596 0.708
CELL_PARAMETERS angstrom
-1.772 1.770 -5.065
-8.546 -4.014 4.739
-2.232 9.661 4.157
```

Calculated values
The value obtained for the calculated volume is 309 Å³/f.u. Its total DFT energy (no corrections) is -85.5 eV per cell.

=====

Record 5
BeCo2Tc: relaxed, PBE. Values from VASP.

Structure (Quantum ESPRESSO input):
```
&SYSTEM
  ibrav = 0, nat = 4, ntyp = 3
/
ATOMIC_SPECIES
Be 9.01 Be.upf
Tc 98.00 Tc.upf
Co 58.93 Co.upf
ATOMIC_POSITIONS crystal
Be 0.500 0.500 0.000
Tc 0.000 0.500 0.500
Co 0.500 0.000 0.500
Co 0.000 0.000 0.000
CELL_PARAMETERS angstrom
-1.219 -2.571 3.585
3.957 2.546 0.514
-0.806 1.786 1.537
```

Calculated values
The value obtained for the calculated volume is 46 Å³/f.u. Its total DFT energy (no corrections) is -27.8 eV per cell. The calculation puts the excess energy over the best structure of this formula in the dataset at 1.15 eV per formula unit.

=====

Record 6
Tb2MgCu12Ni3: relaxed, PBE. Values from VASP.

Structure (Quantum ESPRESSO input):
```
&SYSTEM
  ibrav = 0, nat = 18, ntyp = 4
/
ATOMIC_SPECIES
Cu 63.55 Cu.upf
Ni 58.69 Ni.upf
Tb 158.93 Tb.upf
Mg 24.30 Mg.upf
ATOMIC_POSITIONS crystal
Cu 0.201 0.713 0.201
Cu 0.855 0.420 0.420
Cu 0.145 0.580 0.580
Cu 0.799 0.799 0.287
Cu 0.420 0.420 0.855
Cu 0.201 0.201 0.713
Cu 0.713 0.201 0.201
Ni 0.000 0.000 0.500
Cu 0.420 0.855 0.420
Ni 0.500 0.000 0.000
Cu 0.580 0.145 0.580
Cu 0.799 0.287 0.799
Ni 0.000 0.500 0.000
Tb 0.260 0.260 0.260
Cu 0.287 0.799 0.799
Tb 0.740 0.740 0.740
Mg 0.000 0.000 0.000
Cu 0.580 0.580 0.145
CELL_PARAMETERS angstrom
-4.305 -2.465 4.034
3.969 -0.829 4.945
-1.411 5.447 3.038
```

Calculated values
The value obtained for the calculated volume is 256 Å³/f.u. Its total DFT energy (no corrections) is -76.8 eV per cell.

=====

Record 7
LiIn2I: relaxed, PBE. Values from VASP.

Structure (Quantum ESPRESSO input):
```
&SYSTEM
  ibrav = 0, nat = 4, ntyp = 3
/
ATOMIC_SPECIES
Li 6.94 Li.upf
I 126.90 I.upf
In 114.82 In.upf
ATOMIC_POSITIONS crystal
Li 0.000 0.000 0.000
I 0.500 0.500 0.500
In 0.750 0.750 0.750
In 0.250 0.250 0.250
CELL_PARAMETERS angstrom
1.288 -4.955 2.463
-4.083 -3.105 2.441
-1.670 -4.878 -2.386
```

Calculated values
The uncorrected formation energy comes out at 28 kJ/mol of formula units. The value obtained for the calculated volume is 130 Å³/f.u. Its total DFT energy (no corrections) is -8.7 eV per cell. The calculation puts the excess energy over the best structure of this formula in the dataset at 0.82 eV per formula unit.

=====

Record 8
Li2Tl2Zn: relaxed, PBE. Values from VASP.

Structure (Quantum ESPRESSO input):
```
&SYSTEM
  ibrav = 0, nat = 10, ntyp = 3
/
ATOMIC_SPECIES
Li 6.94 Li.upf
Tl 204.38 Tl.upf
Zn 65.41 Zn.upf
ATOMIC_POSITIONS crystal
Li 0.415 0.078 0.831
Tl 0.323 0.552 0.646
Li 0.085 0.247 0.169
Tl 0.677 0.448 0.354
Zn 0.250 0.500 0.000
Zn 0.750 0.500 0.000
Tl 0.823 0.094 0.646
Li 0.915 0.753 0.831
Li 0.585 0.922 0.169
Tl 0.177 0.906 0.354
CELL_PARAMETERS angstrom
5.355 0.000 0.000
0.000 6.388 0.000
-2.677 -3.194 6.394
```

Calculated values
The value obtained for the calculated volume is 109 Å³/f.u. Its total DFT energy (no corrections) is -20.5 eV per cell. The calculation puts the excess energy over the best structure of this formula in the dataset at 0.10 eV per formula unit.

=====

Record 9
CdMoAs2: relaxed, PBE. Values from VASP.

Structure (Quantum ESPRESSO input):
```
&SYSTEM
  ibrav = 0, nat = 4, ntyp = 3
/
ATOMIC_SPECIES
As 74.92 As.upf
Cd 112.41 Cd.upf
Mo 95.94 Mo.upf
ATOMIC_POSITIONS crystal
As 0.000 0.000 0.938
As 0.000 0.000 0.562
Cd 0.500 0.500 0.250
Mo 0.500 0.500 0.750
CELL_PARAMETERS angstrom
2.971 -0.004 0.000
-0.998 2.798 0.000
0.000 0.000 10.163
```

Calculated values
The value obtained for the calculated volume is 84 Å³/f.u. Its total DFT energy (no corrections) is -20.4 eV per cell.

=====

Record 10
Tb12Dy3Mg: relaxed, PBE. Values from VASP.

Structure (Quantum ESPRESSO input):
```
&SYSTEM
  ibrav = 0, nat = 16, ntyp = 3
/
ATOMIC_SPECIES
Mg 24.30 Mg.upf
Tb 158.93 Tb.upf
Dy 162.50 Dy.upf
ATOMIC_POSITIONS crystal
Mg 0.000 0.000 0.000
Tb 0.500 0.500 0.500
Tb 0.000 0.500 0.374
Tb 0.500 0.000 0.877
Tb 0.000 0.500 0.626
Tb 0.500 0.000 0.123
Tb 0.000 0.500 0.123
Tb 0.500 0.500 0.246
Dy 0.000 0.000 0.248
Tb 0.000 0.500 0.877
Dy 0.000 0.000 0.500
Tb 0.500 0.000 0.626
Tb 0.500 0.500 0.754
Tb 0.500 0.000 0.374
Tb 0.500 0.500 0.000
Dy 0.000 0.000 0.752
CELL_PARAMETERS angstrom
-1.477 2.487 4.079
1.799 -3.666 2.886
17.760 9.309 0.757
```

Calculated values
The value obtained for the calculated volume is 502 Å³/f.u. Its total DFT energy (no corrections) is -70.7 eV per cell.

=====

Record 11
LaNiTe2: relaxed, PBE. Values from VASP.

Structure (Quantum ESPRESSO input):
```
&SYSTEM
  ibrav = 0, nat = 8, ntyp = 3
/
ATOMIC_SPECIES
La 138.91 La.upf
Te 127.60 Te.upf
Ni 58.69 Ni.upf
ATOMIC_POSITIONS crystal
La 0.000 0.000 0.000
Te 0.875 0.794 0.750
Ni 0.500 0.500 0.000
Te 0.375 0.456 0.750
Ni 0.250 0.750 0.500
La 0.750 0.250 0.500
Te 0.544 0.125 0.250
Te 0.206 0.625 0.250
CELL_PARAMETERS angstrom
7.703 0.000 0.000
0.000 7.703 0.000
3.852 3.852 3.529
```

Calculated values
The uncorrected formation energy comes out at -344 kJ/mol of formula units. The value obtained for the calculated volume is 105 Å³/f.u. Its total DFT energy (no corrections) is -41.1 eV per cell.

=====

Record 12
Y3InHg2: relaxed, PBE. Values from VASP.

Structure (Quantum ESPRESSO input):
```
&SYSTEM
  ibrav = 0, nat = 6, ntyp = 3
/
ATOMIC_SPECIES
In 114.82 In.upf
Y 88.91 Y.upf
Hg 200.59 Hg.upf
ATOMIC_POSITIONS crystal
In 0.500 0.500 0.500
Y 0.000 0.000 0.328
Hg 0.500 0.500 0.837
Y 0.000 0.000 0.000
Hg 0.500 0.500 0.163
Y 0.000 0.000 0.672
CELL_PARAMETERS angstrom
3.742 0.000 0.000
0.000 3.742 0.000
0.000 0.000 11.234
```

Calculated values
The value obtained for the calculated volume is 157 Å³/f.u. Its total DFT energy (no corrections) is -25.8 eV per cell.